# Y6Tm2Th

A geometry-optimized Y6Tm2Th structure (GGA-PBE, the Alexandria database).

a = 7.3886 Å, b = 7.3886 Å, c = 19.4085 Å
α = 90.00°, β = 90.00°, γ = 120.00°
Closest atoms and distances in Å follow each position.
Space group R3m (No. 160, hexagonal axes)
Inequivalent atoms, fractional coordinates:
Y 0.1714 0.3428 0.0000 (multiplicity 9)  1 Th 3.19, 2 Y 3.42, 1 Tm 3.55
Y 0.1903 0.3806 0.2015 (multiplicity 9)  1 Th 2.91, 2 Y 3.17
Tm 0.0000 0.0000 0.6818 (multiplicity 3)  1 Tm 3.39, 9 Y 3.39-3.71
Tm 0.0000 0.0000 0.8564 (multiplicity 3)  1 Tm 3.39, 9 Y 3.55-3.71
Th 0.0000 0.0000 0.1195 (multiplicity 3)  6 Y 2.91-3.19

Calculated values
- crystal system = trigonal
- calculated formation energy (eV/atom) = 0.419